Entry 1:
# TbSbH, relaxed, DFT GGA-PBE
# theoretical density	7.351	g cm⁻³
# crystal system	tetragonal
# magnetic moment	0.0	Bohr magnetons per cell
# energy above the lowest structure with this stoichiometry	0.2451	eV per atom
data_TbSbH
_chemical_formula_sum 'Tb4 Sb4 H4'
_symmetry_space_group_name_H-M 'I 4/m m m'
_symmetry_Int_Tables_number 139
_symmetry_space_group_name_Hall '-I 4 2'
_cell_length_a 4.259
_cell_length_b 4.259
_cell_length_c 14.035
_cell_angle_alpha 90.00
_cell_angle_beta 90.00
_cell_angle_gamma 90.00
loop_
_atom_site_label
_atom_site_fract_x
_atom_site_fract_y
_atom_site_fract_z
Tb1 0.000 0.000 0.168
Sb1 0.000 0.500 0.000
H1 0.000 0.500 0.250


Entry 2:
# Tb4Sb2H, relaxed, DFT GGA-PBE
# theoretical density	8.567	g cm⁻³
# crystal system	tetragonal
# magnetic moment	0.0	Bohr magnetons per cell
# energy above the lowest structure with this stoichiometry	0.0000	eV per atom
data_Tb4Sb2H
_chemical_formula_sum 'Tb8 Sb4 H2'
_symmetry_space_group_name_H-M 'I 4/m m m'
_symmetry_Int_Tables_number 139
_symmetry_space_group_name_Hall '-I 4 2'
_cell_length_a 4.481
_cell_length_b 4.481
_cell_length_c 16.992
_cell_angle_alpha 90.00
_cell_angle_beta 90.00
_cell_angle_gamma 90.00
loop_
_atom_site_label
_atom_site_fract_x
_atom_site_fract_y
_atom_site_fract_z
Tb1 0.000 0.000 0.178
Tb2 0.000 0.500 0.000
Sb1 0.000 0.000 0.362
H1 0.000 0.000 0.000


Entry 3:
# TbSbH, relaxed, DFT GGA-PBE
# theoretical density	7.823	g cm⁻³
# crystal system	tetragonal
# magnetic moment	0.0	Bohr magnetons per cell
# energy above the lowest structure with this stoichiometry	0.3052	eV per atom
data_TbSbH
_chemical_formula_sum 'Tb2 Sb2 H2'
_symmetry_space_group_name_H-M 'I 4 m m'
_symmetry_Int_Tables_number 107
_symmetry_space_group_name_Hall 'I 4 -2'
_cell_length_a 3.269
_cell_length_b 3.269
_cell_length_c 11.188
_cell_angle_alpha 90.00
_cell_angle_beta 90.00
_cell_angle_gamma 90.00
loop_
_atom_site_label
_atom_site_fract_x
_atom_site_fract_y
_atom_site_fract_z
Tb1 0.000 0.000 0.000
Sb1 0.000 0.000 0.285
H1 0.000 0.000 0.553


Entry 4:
# Tb4Sb3H, relaxed, DFT GGA-PBE
# theoretical density	7.271	g cm⁻³
# crystal system	orthorhombic
# magnetic moment	0.0	Bohr magnetons per cell
# raw total energy	-81.558	eV for the cell shown
data_Tb4Sb3H
_chemical_formula_sum 'Tb8 Sb6 H2'
_symmetry_space_group_name_H-M 'P m n 21'
_symmetry_Int_Tables_number 31
_cell_length_a 12.138
_cell_length_b 6.145
_cell_length_c 6.136
_cell_angle_alpha 90.00
_cell_angle_beta 90.00
_cell_angle_gamma 90.00
loop_
_symmetry_equiv_pos_as_xyz
'x,y,z'
'-x+1/2,-y,z+1/2'
'-x,y,z'
'x+1/2,-y,z+1/2'
loop_
_atom_site_label
_atom_site_fract_x
_atom_site_fract_y
_atom_site_fract_z
Tb1 0.000 0.170 0.000
Tb2 0.000 0.751 0.570
Tb3 0.246 0.240 0.501
Sb1 0.000 0.251 0.501
Sb2 0.249 0.259 0.002
H1 0.000 0.817 0.926


- Look up the magnetic moment of the fourth one.
  0.0 Bohr magnetons per cell